Computed, not measured: a geometry-optimized NaUTe2O8 structure at the PBE-GGA level of DFT.

CIF file:
```
data_NaUTe2O8
_chemical_formula_sum 'Na2 U2 Te4 O16'
_space_group_name_H-M_alt 'P m n 21'
_space_group_IT_number 31
_cell_length_a 7.7766
_cell_length_b 6.0886
_cell_length_c 8.1969
_cell_angle_alpha 90.00
_cell_angle_beta 90.00
_cell_angle_gamma 90.00
loop_
_space_group_symop_operation_xyz
'x,y,z'
'-x+1/2,-y,z+1/2'
'-x,y,z'
'x+1/2,-y,z+1/2'
loop_
_atom_site_label
_atom_site_type_symbol
_atom_site_fract_x
_atom_site_fract_y
_atom_site_fract_z
Na1 Na 0.0000 0.1264 0.0000
U1 U 0.0000 0.9498 0.5025
Te1 Te 0.2442 0.6151 0.8300
O1 O 0.0000 0.1084 0.6911
O2 O 0.0000 0.2753 0.3036
O3 O 0.0000 0.5187 0.8816
O4 O 0.0000 0.7837 0.3150
O5 O 0.1978 0.7032 0.6110
O6 O 0.2313 0.8828 0.9444
```

Summary:
- crystal system = orthorhombic
- DFT total energy (eV/atom) = -6.646
- calculated volume (Å³/atom) = 16.17
- size of the total moment (μB per formula unit) = 1.03
- DOS(E_F) (states/eV per cell) = 3.46

Computed, not measured: a geometry-optimized NaUTeO5 structure at the PBE-GGA level of DFT.

CIF file:
```
data_NaUTeO5
_chemical_formula_sum 'Na4 U4 Te4 O20'
_space_group_name_H-M_alt 'C 1 2/c 1'
_space_group_IT_number 15
_cell_length_a 8.3296
_cell_length_b 8.9924
_cell_length_c 8.5039
_cell_angle_alpha 90.00
_cell_angle_beta 118.46
_cell_angle_gamma 90.00
loop_
_space_group_symop_operation_xyz
'x,y,z'
'-x,-y,-z'
'-x,y,-z+1/2'
'x,-y,z+1/2'
'x+1/2,y+1/2,z'
'-x+1/2,-y+1/2,-z'
'-x+1/2,y+1/2,-z+1/2'
'x+1/2,-y+1/2,z+1/2'
loop_
_atom_site_label
_atom_site_type_symbol
_atom_site_fract_x
_atom_site_fract_y
_atom_site_fract_z
Na1 Na 0.0000 0.0639 0.2500
U1 U 0.2500 0.2500 0.0000
Te1 Te 0.0000 0.4346 0.2500
O1 O 0.0000 0.2415 0.7500
O2 O 0.0857 0.2851 0.1484
O3 O 0.2431 0.0199 0.0235
```

Summary:
- crystal system = monoclinic
- DFT total energy (eV/atom) = -7.164
- calculated volume (Å³/atom) = 17.50
- size of the total moment (μB per formula unit) = 1.00
- DOS(E_F) (states/eV per cell) = 2.27

Among the records above, which one has the lowest DOS(E_F)?
NaUTeO5

Please write out number 2 again, unchanged.
Computed, not measured: a geometry-optimized NaUTeO5 structure at the PBE-GGA level of DFT.

CIF file:
```
data_NaUTeO5
_chemical_formula_sum 'Na4 U4 Te4 O20'
_space_group_name_H-M_alt 'C 1 2/c 1'
_space_group_IT_number 15
_cell_length_a 8.3296
_cell_length_b 8.9924
_cell_length_c 8.5039
_cell_angle_alpha 90.00
_cell_angle_beta 118.46
_cell_angle_gamma 90.00
loop_
_space_group_symop_operation_xyz
'x,y,z'
'-x,-y,-z'
'-x,y,-z+1/2'
'x,-y,z+1/2'
'x+1/2,y+1/2,z'
'-x+1/2,-y+1/2,-z'
'-x+1/2,y+1/2,-z+1/2'
'x+1/2,-y+1/2,z+1/2'
loop_
_atom_site_label
_atom_site_type_symbol
_atom_site_fract_x
_atom_site_fract_y
_atom_site_fract_z
Na1 Na 0.0000 0.0639 0.2500
U1 U 0.2500 0.2500 0.0000
Te1 Te 0.0000 0.4346 0.2500
O1 O 0.0000 0.2415 0.7500
O2 O 0.0857 0.2851 0.1484
O3 O 0.2431 0.0199 0.0235
```

Summary:
- crystal system = monoclinic
- DFT total energy (eV/atom) = -7.164
- calculated volume (Å³/atom) = 17.50
- size of the total moment (μB per formula unit) = 1.00
- DOS(E_F) (states/eV per cell) = 2.27

What is the formula in the first record?
NaUTe2O8